## Ho4ErTh2 (PBE)

Data for a relaxed structure of Ho4ErTh2.

**Volume**: 254 Å³/f.u.
**Polymorph energy (0 for the lowest one)**: 0.703 eV per atom
**Energy of formation**: 0.8172 eV/atom
**Energy**: -31.99 eV per cell
**Size of the total moment**: 0.2 μB/f.u.

Unit cell a=5.511 b=5.511 c=9.231 alpha=107.37 beta=107.37 gamma=90.00
Element x y z (fractional)
Th: 0.614 0.614 0.227
Th: 0.386 0.386 0.773
Ho: 0.000 0.500 0.000
Ho: 0.181 0.181 0.362
Ho: 0.500 0.000 0.000
Ho: 0.819 0.819 0.638
Er: 0.000 0.000 0.000